Crystalline LaAl2W at its relaxed geometry, computed with PBE.

```
data_LaAl2W
_cell_length_a 4.793
_cell_length_b 4.793
_cell_length_c 6.766
_cell_angle_alpha 90.00
_cell_angle_beta 90.00
_cell_angle_gamma 90.00
_space_group_name_H-M_alt 'I -4 m 2'
_space_group_IT_number 119
_space_group_name_Hall 'I -4 -2'
loop_
_atom_site_label
_atom_site_fract_x
_atom_site_fract_y
_atom_site_fract_z
_atom_site_occupancy
La1 0.000 0.000 0.000 1
Al1 0.000 0.000 0.500 1
Al2 0.000 0.500 0.250 1
W1 0.000 0.500 0.750 1
```

Computed properties:
total moment	0.00	μB/cell
total DFT energy (no corrections)	-47.59	eV/cell
ΔE to the lowest computed polymorph	411	meV per atom


Crystalline LaAlW2 at its relaxed geometry, computed with PBE.

```
data_LaAlW2
_cell_length_a 3.783
_cell_length_b 4.145
_cell_length_c 9.629
_cell_angle_alpha 90.00
_cell_angle_beta 90.00
_cell_angle_gamma 90.00
_space_group_name_H-M_alt 'C m m m'
_space_group_IT_number 65
_space_group_name_Hall '-C 2 2'
loop_
_atom_site_label
_atom_site_fract_x
_atom_site_fract_y
_atom_site_fract_z
_atom_site_occupancy
La1 0.000 0.000 0.000 1
Al1 0.000 0.000 0.500 1
W1 0.000 0.500 0.291 1
```

Computed properties:
total moment	0.00	μB/cell
total DFT energy (no corrections)	-65.24	eV/cell


Crystalline LaAlW2 at its relaxed geometry, computed with PBE.

```
data_LaAlW2
_cell_length_a 3.480
_cell_length_b 3.480
_cell_length_c 6.819
_cell_angle_alpha 90.00
_cell_angle_beta 90.00
_cell_angle_gamma 90.00
_space_group_name_H-M_alt 'P 4/m m m'
_space_group_IT_number 123
_space_group_name_Hall '-P 4 2'
loop_
_atom_site_label
_atom_site_fract_x
_atom_site_fract_y
_atom_site_fract_z
_atom_site_occupancy
La1 0.000 0.000 0.000 1
Al1 0.000 0.000 0.500 1
W1 0.500 0.500 0.326 1
```

Computed properties:
total moment	0.00	μB/cell
total DFT energy (no corrections)	-33.05	eV/cell


Crystalline LaAlW2 at its relaxed geometry, computed with PBE.

```
data_LaAlW2
_cell_length_a 2.9235
_cell_length_b 2.9235
_cell_length_c 30.7673
_cell_angle_alpha 90.00
_cell_angle_beta 90.00
_cell_angle_gamma 120.00
_space_group_name_H-M_alt 'R -3 m'
_space_group_IT_number 166
_space_group_name_Hall '-R 3 2"'
loop_
_atom_site_label
_atom_site_fract_x
_atom_site_fract_y
_atom_site_fract_z
_atom_site_occupancy
La1 0.0000 0.0000 0.0000 1
Al1 0.0000 0.0000 0.5000 1
W1 0.0000 0.0000 0.2385 1
```

Computed properties:
total moment	0.00	μB/cell
total DFT energy (no corrections)	-96.08	eV/cell


Crystalline LaAlW2 at its relaxed geometry, computed with PBE.

```
data_LaAlW2
_cell_length_a 8.508
_cell_length_b 3.098
_cell_length_c 6.643
_cell_angle_alpha 90.00
_cell_angle_beta 97.55
_cell_angle_gamma 90.00
_space_group_name_H-M_alt 'C 1 m 1'
_space_group_IT_number 8
loop_
_space_group_symop_operation_xyz
'x,y,z'
'x,-y,z'
'x+1/2,y+1/2,z'
'x+1/2,-y+1/2,z'
loop_
_atom_site_label
_atom_site_fract_x
_atom_site_fract_y
_atom_site_fract_z
_atom_site_occupancy
La1 0.000 0.000 0.000 1
Al1 0.256 0.500 0.328 1
W1 0.229 0.000 0.670 1
W2 0.494 0.000 0.518 1
```

Computed properties:
total moment	0.00	μB/cell
total DFT energy (no corrections)	-66.16	eV/cell


Crystalline LaAlW at its relaxed geometry, computed with PBE.

```
data_LaAlW
_cell_length_a 6.935
_cell_length_b 6.935
_cell_length_c 6.935
_cell_angle_alpha 90.00
_cell_angle_beta 90.00
_cell_angle_gamma 90.00
_space_group_name_H-M_alt 'F -4 3 m'
_space_group_IT_number 216
_space_group_name_Hall 'F -4 2 3'
loop_
_atom_site_label
_atom_site_fract_x
_atom_site_fract_y
_atom_site_fract_z
_atom_site_occupancy
La1 0.000 0.000 0.000 1
Al1 0.250 0.250 0.750 1
W1 0.250 0.250 0.250 1
```

Computed properties:
total moment	9.90	μB/cell
total DFT energy (no corrections)	-67.95	eV/cell
ΔE to the lowest computed polymorph	1233	meV per atom


Crystalline La2AlW2 at its relaxed geometry, computed with PBE.

```
data_La2AlW2
_cell_length_a 3.659
_cell_length_b 3.659
_cell_length_c 19.743
_cell_angle_alpha 90.00
_cell_angle_beta 90.00
_cell_angle_gamma 90.00
_space_group_name_H-M_alt 'I 4/m m m'
_space_group_IT_number 139
_space_group_name_Hall '-I 4 2'
loop_
_atom_site_label
_atom_site_fract_x
_atom_site_fract_y
_atom_site_fract_z
_atom_site_occupancy
La1 0.000 0.000 0.110 1
Al1 0.000 0.000 0.500 1
W1 0.000 0.500 0.250 1
```

Computed properties:
total moment	0.00	μB/cell
total DFT energy (no corrections)	-74.46	eV/cell
ΔE to the lowest computed polymorph	0	meV per atom


Crystalline LaAl2W at its relaxed geometry, computed with PBE.

```
data_LaAl2W
_cell_length_a 9.843
_cell_length_b 2.894
_cell_length_c 5.853
_cell_angle_alpha 90.00
_cell_angle_beta 100.82
_cell_angle_gamma 90.00
_space_group_name_H-M_alt 'C 1 m 1'
_space_group_IT_number 8
loop_
_space_group_symop_operation_xyz
'x,y,z'
'x,-y,z'
'x+1/2,y+1/2,z'
'x+1/2,-y+1/2,z'
loop_
_atom_site_label
_atom_site_fract_x
_atom_site_fract_y
_atom_site_fract_z
_atom_site_occupancy
La1 0.000 0.000 0.000 1
Al1 0.007 0.500 0.489 1
Al2 0.233 0.000 0.688 1
W1 0.274 0.500 0.320 1
```

Computed properties:
total moment	0.00	μB/cell
total DFT energy (no corrections)	-48.68	eV/cell
ΔE to the lowest computed polymorph	274	meV per atom


Crystalline LaAl2W at its relaxed geometry, computed with PBE.

```
data_LaAl2W
_cell_length_a 3.0012
_cell_length_b 3.0012
_cell_length_c 30.5197
_cell_angle_alpha 90.00
_cell_angle_beta 90.00
_cell_angle_gamma 120.00
_space_group_name_H-M_alt 'R -3 m'
_space_group_IT_number 166
_space_group_name_Hall '-R 3 2"'
loop_
_atom_site_label
_atom_site_fract_x
_atom_site_fract_y
_atom_site_fract_z
_atom_site_occupancy
La1 0.0000 0.0000 0.0000 1
Al1 0.0000 0.0000 0.2379 1
W1 0.0000 0.0000 0.5000 1
```

Computed properties:
total moment	1.83	μB/cell
total DFT energy (no corrections)	-73.44	eV/cell
ΔE to the lowest computed polymorph	240	meV per atom


Crystalline LaAl2W at its relaxed geometry, computed with PBE.

```
data_LaAl2W
_cell_length_a 2.9968
_cell_length_b 2.9968
_cell_length_c 30.6684
_cell_angle_alpha 90.00
_cell_angle_beta 90.00
_cell_angle_gamma 120.00
_space_group_name_H-M_alt 'R 3 m'
_space_group_IT_number 160
_space_group_name_Hall 'R 3 -2"'
loop_
_atom_site_label
_atom_site_fract_x
_atom_site_fract_y
_atom_site_fract_z
_atom_site_occupancy
La1 0.0000 0.0000 0.0000 1
Al1 0.0000 0.0000 0.2387 1
Al2 0.0000 0.0000 0.4978 1
W1 0.0000 0.0000 0.7616 1
```

Computed properties:
total moment	2.26	μB/cell
total DFT energy (no corrections)	-71.68	eV/cell
ΔE to the lowest computed polymorph	386	meV per atom


Crystalline LaAl2W at its relaxed geometry, computed with PBE.

```
data_LaAl2W
_cell_length_a 6.870
_cell_length_b 6.870
_cell_length_c 6.870
_cell_angle_alpha 90.00
_cell_angle_beta 90.00
_cell_angle_gamma 90.00
_space_group_name_H-M_alt 'F m -3 m'
_space_group_IT_number 225
_space_group_name_Hall '-F 4 2 3'
loop_
_atom_site_label
_atom_site_fract_x
_atom_site_fract_y
_atom_site_fract_z
_atom_site_occupancy
La1 0.000 0.000 0.000 1
Al1 0.250 0.250 0.250 1
W1 0.000 0.000 0.500 1
```

Computed properties:
total moment	7.02	μB/cell
total DFT energy (no corrections)	-97.35	eV/cell
ΔE to the lowest computed polymorph	276	meV per atom


Crystalline LaAl2W at its relaxed geometry, computed with PBE.

```
data_LaAl2W
_cell_length_a 4.741
_cell_length_b 4.741
_cell_length_c 18.207
_cell_angle_alpha 90.00
_cell_angle_beta 90.00
_cell_angle_gamma 90.00
_space_group_name_H-M_alt 'I -4 2 d'
_space_group_IT_number 122
_space_group_name_Hall 'I -4 2bw'
loop_
_atom_site_label
_atom_site_fract_x
_atom_site_fract_y
_atom_site_fract_z
_atom_site_occupancy
La1 0.000 0.000 0.000 1
Al1 0.081 0.250 0.625 1
W1 0.000 0.000 0.500 1
```

Computed properties:
total moment	3.08	μB/cell
total DFT energy (no corrections)	-92.81	eV/cell
ΔE to the lowest computed polymorph	559	meV per atom


Number 1: D(E_F) 4.2 states/eV per cell, E_form 393 meV/atom. Number 2: D(E_F) 7.3 states/eV per cell, E_form 488 meV/atom. Number 3: D(E_F) 3.0 states/eV per cell, E_form 381 meV/atom. Number 4: D(E_F) 13.0 states/eV per cell, E_form 638 meV/atom. Number 5: D(E_F) 6.4 states/eV per cell, E_form 374 meV/atom. Number 6: D(E_F) 14.2 states/eV per cell, E_form 1546 meV/atom. Number 7: D(E_F) 19.5 states/eV per cell, E_form 455 meV/atom. Number 8: D(E_F) 5.9 states/eV per cell, E_form 256 meV/atom. Number 9: D(E_F) 10.8 states/eV per cell, E_form 221 meV/atom. Number 10: D(E_F) 12.2 states/eV per cell, E_form 368 meV/atom. Number 11: D(E_F) 17.3 states/eV per cell, E_form 257 meV/atom. Number 12: D(E_F) 14.4 states/eV per cell, E_form 541 meV/atom.